(1)
Compound: Pm5GePb2
Source: Alexandria via LeMat-Bulk
Functional: PBE-GGA
Structure: relaxed

Computed properties:
M_tot: 0.00 μB/cell
SG: Pbam, No. 55
energy relative to the elements: -0.5944 eV per atom
excess energy over the best structure of this formula in the dataset: 0.0 kJ/mol of atoms
energy: -0.3725 Ry/atom

a = 4.660 Å, b = 8.413 Å, c = 12.657 Å
α = 90.00°, β = 90.00°, γ = 90.00°
Atoms (fractional coordinates):
Pm  0.000  0.855  0.210
Pm  0.000  0.500  0.000
Pm  0.500  0.804  0.933
Pm  0.000  0.145  0.790
Pm  0.000  0.645  0.710
Pm  0.500  0.196  0.067
Pm  0.500  0.696  0.433
Pm  0.000  0.355  0.290
Pm  0.000  0.000  0.500
Pm  0.500  0.304  0.567
Pb  0.500  0.920  0.673
Pb  0.500  0.580  0.173
Pb  0.500  0.080  0.327
Pb  0.500  0.420  0.827
Ge  0.000  0.500  0.500
Ge  0.000  0.000  0.000


(2)
Compound: ZrSc2Co
Source: Alexandria via LeMat-Bulk
Functional: PBE-GGA
Structure: relaxed

Computed properties:
M_tot: 0.00 μB/cell
SG: R3m, No. 160
energy relative to the elements: 0.0159 eV per atom
excess energy over the best structure of this formula in the dataset: 22.1 kJ/mol of atoms
energy: -0.5192 Ry/atom

a = 3.222 Å, b = 3.222 Å, c = 9.122 Å
α = 79.83°, β = 79.83°, γ = 60.00°
Atoms (fractional coordinates):
Zr  0.501  0.501  0.496
Co  0.666  0.666  0.001
Sc  0.266  0.266  0.201
Sc  0.066  0.066  0.802


(3)
Compound: MgCuPb4
Source: Alexandria via LeMat-Bulk
Functional: PBE-GGA
Structure: relaxed

Computed properties:
M_tot: 0.00 μB/cell
SG: F-43m, No. 216
energy relative to the elements: 0.4597 eV per atom
energy: -0.2176 Ry/atom

a = 6.415 Å, b = 6.415 Å, c = 6.415 Å
α = 60.00°, β = 60.00°, γ = 60.00°
Atoms (fractional coordinates):
Pb  0.375  0.875  0.375
Pb  0.375  0.375  0.375
Pb  0.875  0.375  0.375
Pb  0.375  0.375  0.875
Cu  0.750  0.750  0.750
Mg  0.000  0.000  0.000


(4)
Compound: ReTe3
Source: Alexandria via LeMat-Bulk
Functional: PBE-GGA
Structure: relaxed

Computed properties:
M_tot: 0.00 μB/cell
SG: Imm2, No. 44
excess energy over the best structure of this formula in the dataset: 0.0 kJ/mol of atoms
raw formation energy: 0.207 eV/atom
energy: -0.3867 Ry/atom

a = 6.888 Å, b = 6.888 Å, c = 6.888 Å
α = 153.17°, β = 123.85°, γ = 63.30°
Atoms (fractional coordinates):
Te  0.284  0.660  0.624
Te  0.627  0.500  0.127
Te  0.965  0.340  0.624
Re  0.958  0.000  0.958


(5)
Compound: ErCu4Pt
Source: Alexandria via LeMat-Bulk
Functional: PBE-GGA
Structure: relaxed

Computed properties:
M_tot: 0.00 μB/cell
SG: F-43m, No. 216
energy relative to the elements: -0.4123 eV per atom
energy: -0.3609 Ry/atom

a = 4.972 Å, b = 4.972 Å, c = 4.972 Å
α = 60.00°, β = 60.00°, γ = 60.00°
Atoms (fractional coordinates):
Er  0.250  0.250  0.250
Pt  0.000  0.000  0.000
Cu  0.626  0.123  0.626
Cu  0.123  0.626  0.626
Cu  0.626  0.626  0.123
Cu  0.626  0.626  0.626


(6)
Compound: Li2NiRu
Source: Alexandria via LeMat-Bulk
Functional: PBE-GGA
Structure: relaxed

Computed properties:
M_tot: 1.67 μB/cell
SG: P4/mmm, No. 123
energy relative to the elements: 0.2095 eV per atom
excess energy over the best structure of this formula in the dataset: 15.4 kJ/mol of atoms
energy: -0.3316 Ry/atom

a = 4.195 Å, b = 3.494 Å, c = 3.494 Å
α = 90.00°, β = 90.00°, γ = 90.00°
Atoms (fractional coordinates):
Ni  0.500  0.500  0.000
Li  0.000  0.000  0.000
Li  0.000  0.500  0.500
Ru  0.500  0.000  0.500


(7)
Compound: CaMn2Se
Source: Alexandria via LeMat-Bulk
Functional: PBE-GGA
Structure: relaxed

Computed properties:
M_tot: 8.08 μB/cell
SG: P4/mmm, No. 123
raw formation energy: 0.124 eV/atom
energy: -0.4287 Ry/atom

a = 3.829 Å, b = 3.829 Å, c = 5.699 Å
α = 90.00°, β = 90.00°, γ = 90.00°
Atoms (fractional coordinates):
Mn  0.000  0.000  0.012
Mn  0.000  0.000  0.488
Se  0.500  0.500  0.250
Ca  0.500  0.500  0.750


(8)
Compound: Y2GaCuC
Source: Alexandria via LeMat-Bulk
Functional: PBE-GGA
Structure: relaxed

Computed properties:
M_tot: 0.00 μB/cell
SG: P4/mmm, No. 123
energy relative to the elements: -0.2773 eV per atom
energy: -0.4507 Ry/atom

a = 4.965 Å, b = 4.965 Å, c = 3.845 Å
α = 90.00°, β = 90.00°, γ = 90.00°
Atoms (fractional coordinates):
Y  0.500  0.000  0.000
Y  0.000  0.500  0.000
Cu  0.000  0.000  0.500
C  0.000  0.000  0.000
Ga  0.500  0.500  0.500


(9)
Compound: MgZn2Cd6
Source: Alexandria via LeMat-Bulk
Functional: PBE-GGA
Structure: relaxed

Computed properties:
M_tot: 0.00 μB/cell
SG: C2/m, No. 12
energy relative to the elements: 0.0367 eV per atom
energy: -0.0760 Ry/atom

a = 3.244 Å, b = 7.811 Å, c = 9.818 Å
α = 113.44°, β = 118.42°, γ = 90.00°
Atoms (fractional coordinates):
Zn  0.003  0.666  0.333
Zn  0.997  0.334  0.667
Cd  0.500  0.317  0.000
Cd  0.486  0.021  0.662
Cd  0.500  0.683  0.000
Cd  0.514  0.359  0.338
Cd  0.514  0.979  0.338
Cd  0.486  0.641  0.662
Mg  0.000  0.000  0.000


(10)
Compound: Ru5W3
Source: Alexandria via LeMat-Bulk
Functional: PBE-GGA
Structure: relaxed

Computed properties:
M_tot: 0.00 μB/cell
SG: P-1, No. 2
energy relative to the elements: 0.2196 eV per atom
excess energy over the best structure of this formula in the dataset: 18.7 kJ/mol of atoms
energy: -0.7670 Ry/atom

a = 4.997 Å, b = 7.530 Å, c = 7.941 Å
α = 95.47°, β = 115.63°, γ = 65.46°
Atoms (fractional coordinates):
W  0.757  0.852  0.458
W  0.243  0.148  0.543
W  0.754  0.955  0.963
W  0.744  0.466  0.865
W  0.257  0.534  0.136
W  0.247  0.045  0.038
Ru  0.069  0.705  0.805
Ru  0.606  0.190  0.310
Ru  0.171  0.855  0.312
Ru  0.931  0.295  0.196
Ru  0.830  0.145  0.689
Ru  0.395  0.810  0.691
Ru  0.772  0.502  0.542
Ru  0.342  0.308  0.858
Ru  0.229  0.498  0.459
Ru  0.659  0.692  0.143


(11)
Compound: NiSn4Au2
Source: Alexandria via LeMat-Bulk
Functional: PBE-GGA
Structure: relaxed

Computed properties:
M_tot: 0.00 μB/cell
SG: P-1, No. 2
energy relative to the elements: -0.1869 eV per atom
energy: -0.3114 Ry/atom

a = 4.171 Å, b = 6.806 Å, c = 6.911 Å
α = 59.95°, β = 89.96°, γ = 71.99°
Atoms (fractional coordinates):
Au  0.745  0.510  0.738
Au  0.255  0.490  0.262
Sn  0.611  0.779  0.949
Sn  0.389  0.221  0.051
Sn  0.102  0.793  0.447
Sn  0.898  0.207  0.553
Ni  0.000  0.000  0.000


(12)
Compound: AlPb7
Source: Alexandria via LeMat-Bulk
Functional: PBE-GGA
Structure: relaxed

Computed properties:
M_tot: 0.00 μB/cell
SG: Fm-3m, No. 225
energy relative to the elements: 0.0999 eV per atom
energy: -0.2655 Ry/atom

a = 6.993 Å, b = 6.993 Å, c = 6.993 Å
α = 60.00°, β = 60.00°, γ = 60.00°
Atoms (fractional coordinates):
Pb  0.500  0.500  0.500
Pb  0.500  0.000  0.500
Pb  0.500  0.500  0.000
Pb  0.500  0.000  0.000
Pb  0.000  0.000  0.500
Pb  0.000  0.500  0.500
Pb  0.000  0.500  0.000
Al  0.000  0.000  0.000


(13)
Compound: ZrTaRu2Pb
Source: Alexandria via LeMat-Bulk
Functional: PBE-GGA
Structure: relaxed

Computed properties:
M_tot: 0.00 μB/cell
SG: P4/mmm, No. 123
energy relative to the elements: 1.7267 eV per atom
energy: -0.5002 Ry/atom

a = 4.695 Å, b = 5.359 Å, c = 4.695 Å
α = 90.00°, β = 90.00°, γ = 90.00°
Atoms (fractional coordinates):
Ru  0.000  0.000  0.500
Ru  0.500  0.000  0.000
Pb  0.000  0.500  0.000
Zr  0.000  0.000  0.000
Ta  0.500  0.500  0.500


(14)
Compound: Pa2InAg
Source: Alexandria via LeMat-Bulk
Functional: PBE-GGA
Structure: relaxed

Computed properties:
M_tot: 0.88 μB/cell
SG: R-3m, No. 166
energy relative to the elements: 0.2843 eV per atom
energy: -0.4308 Ry/atom

a = 3.096 Å, b = 3.096 Å, c = 12.027 Å
α = 82.61°, β = 82.61°, γ = 60.00°
Atoms (fractional coordinates):
In  0.500  0.500  0.500
Ag  0.000  0.000  0.000
Pa  0.088  0.088  0.737
Pa  0.912  0.912  0.263


(15)
Compound: ReSe8
Source: Alexandria via LeMat-Bulk
Functional: PBE-GGA
Structure: relaxed

Computed properties:
M_tot: 0.00 μB/cell
SG: I4/mmm, No. 139
raw formation energy: 0.464 eV/atom
energy: -0.2952 Ry/atom

a = 7.836 Å, b = 7.836 Å, c = 7.836 Å
α = 94.14°, β = 94.14°, γ = 148.83°
Atoms (fractional coordinates):
Se  0.000  0.243  0.243
Se  0.636  0.364  0.000
Se  0.636  0.636  0.273
Se  0.364  0.364  0.727
Se  0.000  0.757  0.757
Se  0.757  0.000  0.757
Se  0.243  0.000  0.243
Se  0.364  0.636  0.000
Re  0.000  0.000  0.000


(16)
Compound: PrTmNi2Ge2
Source: Alexandria via LeMat-Bulk
Functional: PBE-GGA
Structure: relaxed

Computed properties:
M_tot: 0.00 μB/cell
SG: P-3m1, No. 164
energy relative to the elements: -0.7471 eV per atom
energy: -0.4230 Ry/atom

a = 4.263 Å, b = 4.263 Å, c = 7.233 Å
α = 90.00°, β = 90.00°, γ = 120.00°
Atoms (fractional coordinates):
Ge  0.667  0.333  0.723
Ge  0.333  0.667  0.277
Ni  0.667  0.333  0.300
Ni  0.333  0.667  0.700
Tm  0.000  0.000  0.500
Pr  0.000  0.000  0.000


(17)
Compound: Ba6NaAu
Source: Alexandria via LeMat-Bulk
Functional: PBE-GGA
Structure: relaxed

Computed properties:
M_tot: 0.00 μB/cell
SG: C2/m, No. 12
energy relative to the elements: -0.1411 eV per atom
excess energy over the best structure of this formula in the dataset: 0.0 kJ/mol of atoms
energy: -0.1586 Ry/atom

a = 7.801 Å, b = 7.815 Å, c = 7.815 Å
α = 108.21°, β = 97.39°, γ = 97.39°
Atoms (fractional coordinates):
Ba  0.361  0.276  0.276
Ba  0.772  0.944  0.305
Ba  0.639  0.724  0.724
Ba  0.228  0.695  0.056
Ba  0.772  0.305  0.944
Ba  0.228  0.056  0.695
Na  0.000  0.500  0.500
Au  0.000  0.000  0.000


(18)
Compound: LaNbPtAu2
Source: Alexandria via LeMat-Bulk
Functional: PBE-GGA
Structure: relaxed

Computed properties:
M_tot: 3.98 μB/cell
SG: P4/mmm, No. 123
energy relative to the elements: 0.5286 eV per atom
energy: -0.3668 Ry/atom

a = 5.177 Å, b = 5.156 Å, c = 5.177 Å
α = 90.00°, β = 90.00°, γ = 90.00°
Atoms (fractional coordinates):
Au  0.500  0.000  0.000
Au  0.000  0.000  0.500
La  0.000  0.500  0.000
Pt  0.000  0.000  0.000
Nb  0.500  0.500  0.500


(19)
Compound: PmNdHoAg
Source: Alexandria via LeMat-Bulk
Functional: PBE-GGA
Structure: relaxed

Computed properties:
M_tot: 0.00 μB/cell
SG: P4mm, No. 99
energy relative to the elements: -0.1243 eV per atom
excess energy over the best structure of this formula in the dataset: 0.0 kJ/mol of atoms
energy: -0.3205 Ry/atom

a = 3.675 Å, b = 3.675 Å, c = 8.729 Å
α = 90.00°, β = 90.00°, γ = 90.00°
Atoms (fractional coordinates):
Pm  0.500  0.500  0.783
Nd  0.000  0.000  0.078
Ag  0.000  0.000  0.559
Ho  0.500  0.500  0.365


(20)
Compound: K2MgTl10
Source: Alexandria via LeMat-Bulk
Functional: PBE-GGA
Structure: relaxed

Computed properties:
M_tot: 0.00 μB/cell
SG: Pbam, No. 55
energy relative to the elements: 0.0533 eV per atom
energy: -0.1513 Ry/atom

a = 6.858 Å, b = 13.018 Å, c = 11.402 Å
α = 90.00°, β = 90.00°, γ = 90.00°
Atoms (fractional coordinates):
Tl  0.270  0.180  0.069
Tl  0.730  0.320  0.569
Tl  0.000  0.447  0.758
Tl  0.270  0.820  0.931
Tl  0.730  0.680  0.431
Tl  0.730  0.820  0.931
Tl  0.000  0.803  0.185
Tl  0.730  0.180  0.069
Tl  0.000  0.303  0.315
Tl  0.270  0.680  0.431
Tl  0.000  0.119  0.537
Tl  0.000  0.947  0.742
Tl  0.000  0.619  0.963
Tl  0.000  0.697  0.685
Tl  0.000  0.553  0.242
Tl  0.000  0.381  0.037
Tl  0.000  0.881  0.463
Tl  0.270  0.320  0.569
Tl  0.000  0.197  0.815
Tl  0.000  0.053  0.258
K  0.500  0.617  0.137
K  0.500  0.383  0.863
K  0.500  0.883  0.637
K  0.500  0.117  0.363
Mg  0.000  0.000  0.000
Mg  0.000  0.500  0.500


(21)
Compound: SmLuCu
Source: Alexandria via LeMat-Bulk
Functional: PBE-GGA
Structure: relaxed

Computed properties:
M_tot: 0.00 μB/cell
SG: I4mm, No. 107
energy relative to the elements: -0.1318 eV per atom
excess energy over the best structure of this formula in the dataset: 0.0 kJ/mol of atoms
energy: -0.3364 Ry/atom

a = 3.463 Å, b = 3.463 Å, c = 6.640 Å
α = 105.12°, β = 105.12°, γ = 90.00°
Atoms (fractional coordinates):
Cu  0.678  0.678  0.356
Sm  0.022  0.022  0.043
Lu  0.300  0.300  0.601


(22)
Compound: Rb3Ca3OsO8
Source: Alexandria via LeMat-Bulk
Functional: PBE-GGA
Structure: relaxed

Computed properties:
M_tot: 1.03 μB/cell
SG: R-3m, No. 166
raw formation energy: -1.926 eV/atom
energy: -0.4346 Ry/atom

a = 6.912 Å, b = 6.912 Å, c = 7.645 Å
α = 116.87°, β = 90.00°, γ = 120.00°
Atoms (fractional coordinates):
Ca  0.500  0.000  0.500
Ca  0.500  0.500  0.500
Ca  0.000  0.500  0.500
Rb  0.000  0.500  0.000
Rb  0.500  0.500  0.000
Rb  0.000  0.000  0.000
O  0.724  0.448  0.672
O  0.811  0.622  0.335
O  0.276  0.552  0.328
O  0.213  0.024  0.335
O  0.189  0.976  0.665
O  0.811  0.024  0.335
O  0.189  0.378  0.665
O  0.787  0.976  0.665
Os  0.000  0.000  0.500


(23)
Compound: ThTiTc4
Source: Alexandria via LeMat-Bulk
Functional: PBE-GGA
Structure: relaxed

Computed properties:
M_tot: 0.00 μB/cell
SG: F-43m, No. 216
energy relative to the elements: -0.0051 eV per atom
energy: -0.6959 Ry/atom

a = 5.345 Å, b = 5.345 Å, c = 5.345 Å
α = 60.00°, β = 60.00°, γ = 60.00°
Atoms (fractional coordinates):
Ti  0.000  0.000  0.000
Th  0.250  0.250  0.250
Tc  0.626  0.626  0.123
Tc  0.123  0.626  0.626
Tc  0.626  0.123  0.626
Tc  0.626  0.626  0.626


(24)
Compound: NbSiH2
Source: Alexandria via LeMat-Bulk
Functional: PBE-GGA
Structure: relaxed

Computed properties:
M_tot: 0.00 μB/cell
SG: I-42d, No. 122
excess energy over the best structure of this formula in the dataset: 0.0 kJ/mol of atoms
energy: -0.3838 Ry/atom

a = 4.479 Å, b = 4.479 Å, c = 5.111 Å
α = 64.01°, β = 64.01°, γ = 90.00°
Atoms (fractional coordinates):
Nb  0.750  0.250  0.500
Nb  0.000  0.000  0.000
Si  0.250  0.750  0.500
Si  0.500  0.500  0.000
H  0.126  0.625  0.250
H  0.875  0.874  0.750
H  0.624  0.125  0.250
H  0.375  0.376  0.750


(25)
Compound: TmNbAlMo
Source: Alexandria via LeMat-Bulk
Functional: PBE-GGA
Structure: relaxed

Computed properties:
M_tot: 0.00 μB/cell
SG: F-43m, No. 216
energy relative to the elements: -0.0321 eV per atom
energy: -0.5373 Ry/atom

a = 4.748 Å, b = 4.748 Å, c = 4.748 Å
α = 60.00°, β = 60.00°, γ = 60.00°
Atoms (fractional coordinates):
Tm  0.250  0.250  0.250
Al  0.500  0.500  0.500
Nb  0.750  0.750  0.750
Mo  0.000  0.000  0.000